Below is a geometry-optimized GaIrNO2 structure, with properties calculated at the PBEsol level.

Unit cell a=3.9596 b=3.9596 c=3.7364 alpha=90.00 beta=90.00 gamma=90.00
Last column: nearest neighbours and their distance in Å.
Space group P4/mmm (No. 123)
Asymmetric unit:
Ga (0.0000, 0.0000, 0.0000) [1 per cell]  8 O 2.72, 4 N 2.80
Ir (0.5000, 0.5000, 0.5000) [1 per cell]  2 N 1.87, 4 O 1.98
N (0.5000, 0.5000, 0.0000) [1 per cell]  2 Ir 1.87
O (0.0000, 0.5000, 0.5000) [2 per cell]  2 Ir 1.98

Calculated values
Raw formation energy   0.026 eV/atom
Fermi-level density of states   0.753 states/eV/atom
Electronic total energy   -6.41 eV per atom

Below is a geometry-optimized GaIrN2O structure, with properties calculated at the PBEsol level.

Unit cell a=3.7701 b=3.7701 c=4.1788 alpha=90.00 beta=90.00 gamma=90.00
Last column: nearest neighbours and their distance in Å.
Space group P4/mmm (No. 123)
Asymmetric unit:
Ga (0.0000, 0.0000, 0.0000) [1 per cell]  4 O 2.67, 8 N 2.81
Ir (0.5000, 0.5000, 0.5000) [1 per cell]  4 N 1.89, 2 O 2.09
N (0.0000, 0.5000, 0.5000) [2 per cell]  2 Ir 1.89
O (0.5000, 0.5000, 0.0000) [1 per cell]  2 Ir 2.09

Calculated values
Raw formation energy   0.563 eV/atom
Fermi-level density of states   0.586 states/eV/atom
Electronic total energy   -6.53 eV per atom

Below is a geometry-optimized Ga2ReIrN structure, with properties calculated at the PBEsol level.

Unit cell a=4.6663 b=4.6663 c=4.7863 alpha=90.00 beta=90.00 gamma=90.00
Last column: nearest neighbours and their distance in Å.
Space group P4/mmm (No. 123)
Asymmetric unit:
Ga (0.0000, 0.5000, 0.0000) [2 per cell]  2 Ir 2.33
Re (0.0000, 0.0000, 0.5000) [1 per cell]  2 Ir 2.39
Ir (0.0000, 0.0000, 0.0000) [1 per cell]  4 Ga 2.33, 2 Re 2.39
N (0.5000, 0.5000, 0.5000) [1 per cell]  4 Re 3.30, 8 Ga 3.34

Calculated values
Raw formation energy   1.829 eV/atom
Fermi-level density of states   0.885 states/eV/atom
Electronic total energy   -5.84 eV per atom

What is the formula in the first record?
GaIrNO2